Entry 1:
Ti5V2In4: relaxed, GGA-PBE.

Results
Total energy   -68.11 eV for the cell shown
Energy of formation   0.050 eV/atom
Spin magnetization   0.14 μB/atom
Crystal system   monoclinic

Unit cell a=7.229 b=2.884 c=9.525 alpha=90.00 beta=93.51 gamma=90.00
Space group P2/m (No. 10)
Inequivalent atoms, fractional coordinates:
Ti 0.000 0.000 0.000 x1
Ti 0.079 0.000 0.286 x2
Ti 0.291 0.000 0.824 x2
V 0.442 0.000 0.368 x2
In 0.214 0.500 0.556 x2
In 0.341 0.500 0.107 x2

Entry 2:
YBi2Pb: relaxed, GGA-PBE.

Results
Total energy   -72.34 eV for the cell shown
Energy of formation   -0.038 eV/atom
Spin magnetization   0.00 μB/atom
Crystal system   tetragonal

Unit cell a=7.063 b=7.063 c=14.654 alpha=90.00 beta=90.00 gamma=90.00
Space group I-42d (No. 122)
Inequivalent atoms, fractional coordinates:
Y 0.000 0.000 0.000 x4
Bi 0.245 0.250 0.125 x8
Pb 0.000 0.000 0.500 x4

Entry 3:
TaSiTc2: relaxed, GGA-PBE.

Results
Total energy   -73.74 eV for the cell shown
ΔE_f (raw)   0.28 eV/atom
Spin magnetization   0.00 μB/atom
Crystal system   orthorhombic

Unit cell a=2.827 b=4.288 c=10.653 alpha=90.00 beta=90.00 gamma=90.00
Space group Immm (No. 71)
Inequivalent atoms, fractional coordinates:
Ta 0.000 0.000 0.000 x2
Si 0.000 0.000 0.500 x2
Tc 0.000 0.000 0.288 x4

Entry 4:
Zr3Ga3Ni: relaxed, GGA-PBE.

Results
Total energy   -178.97 eV for the cell shown
Energy of formation   -0.605 eV/atom
Spin magnetization   0.00 μB/atom
Crystal system   monoclinic

Unit cell a=10.122 b=3.988 c=13.327 alpha=90.00 beta=109.41 gamma=90.00
Space group C2/m (No. 12)
Inequivalent atoms, fractional coordinates:
Zr 0.025 0.000 0.378 x4
Zr 0.107 0.000 0.922 x4
Zr 0.239 0.000 0.230 x4
Ga 0.023 0.500 0.232 x4
Ga 0.117 0.500 0.075 x4
Ga 0.139 0.500 0.542 x4
Ni 0.236 0.500 0.389 x4

Entry 5:
Ba5TmSb4: relaxed, GGA-PBE.

Results
Total energy   -77.47 eV for the cell shown
ΔE_f (raw)   -0.82 eV/atom
Spin magnetization   0.10 μB/atom
Crystal system   monoclinic

Unit cell a=21.135 b=4.924 c=9.309 alpha=90.00 beta=100.92 gamma=90.00
Space group C2/m (No. 12)
Inequivalent atoms, fractional coordinates:
Ba 0.000 0.000 0.000 x2
Ba 0.152 0.500 0.832 x4
Ba 0.173 0.500 0.354 x4
Tm 0.000 0.000 0.500 x2
Sb 0.009 0.500 0.275 x4
Sb 0.156 0.000 0.594 x4

Entry 6:
ScTe2IF: relaxed, GGA-PBE.

Results
Total energy   -18.15 eV for the cell shown
ΔE_f (raw)   -0.42 eV/atom
Distance to the lowest polymorph of the same formula   0.000 eV per atom
Spin magnetization   0.25 μB/atom
Crystal system   tetragonal

Unit cell a=5.533 b=5.533 c=5.573 alpha=90.00 beta=90.00 gamma=90.00
Space group P4/mmm (No. 123)
Inequivalent atoms, fractional coordinates:
Sc 0.000 0.000 0.000 x1
Te 0.000 0.500 0.000 x2
I 0.000 0.000 0.500 x1
F 0.500 0.500 0.500 x1

Entry 7:
Co2MoAs: relaxed, GGA-PBE.

Results
Total energy   -29.24 eV for the cell shown
Energy of formation   0.113 eV/atom
Spin magnetization   0.01 μB/atom
Crystal system   orthorhombic

Unit cell a=2.775 b=3.285 c=5.674 alpha=90.00 beta=90.00 gamma=90.00
Space group Pmm2 (No. 25)
Inequivalent atoms, fractional coordinates:
Co 0.000 0.000 0.000 x1
Co 0.500 0.500 0.250 x1
Mo 0.000 0.000 0.482 x1
As 0.500 0.500 0.807 x1

Entry 8:
AcCd4Rh: relaxed, GGA-PBE.

Results
Total energy   -34.09 eV for the cell shown
Energy of formation   -0.321 eV/atom
Distance to the lowest polymorph of the same formula   0.000 eV per atom
Spin magnetization   0.00 μB/atom
Crystal system   orthorhombic

Unit cell a=8.821 b=4.429 c=7.448 alpha=90.00 beta=90.00 gamma=90.00
Space group Pmma (No. 51)
Inequivalent atoms, fractional coordinates:
Ac 0.250 0.000 0.089 x2
Cd 0.000 0.000 0.500 x2
Cd 0.051 0.500 0.798 x4
Cd 0.250 0.500 0.458 x2
Rh 0.250 0.000 0.717 x2